Entry 1:
5
Lattice="-1.450 1.688 -3.780 -2.290 -3.664 -0.757 -3.574 1.786 2.169" Properties=species:S:1:pos:R:3 comment="RbBiNO2, optimized geometry, DFT PBE" volume_a3_per_fu=87.5 formation_energy_uncorrected_mev_per_atom=-159 rho_g_cm3=6.462 pbc="T T T"
O -1.145 -1.832 -0.379
O -0.725 0.844 -1.890
Bi 0.000 0.000 0.000
Rb -3.657 -0.095 -1.185
N -1.787 0.893 1.084

***

Entry 2:
4
Lattice="5.284 0.000 0.000 2.642 4.576 0.000 2.642 1.525 4.315" Properties=species:S:1:pos:R:3 comment="NdThCdPd, optimized geometry, DFT PBE" volume_a3_per_fu=104.3 rho_g_cm3=9.471 e_form_mev_per_atom=-347 pbc="T T T"
Nd 0.000 0.000 0.000
Pd 7.926 4.576 3.236
Th 5.284 3.051 2.157
Cd 2.642 1.525 1.079

***

Entry 3:
5
Lattice="4.013 0.000 0.000 0.000 4.013 0.000 0.000 0.000 4.346" Properties=species:S:1:pos:R:3 comment="LiYSeN2, optimized geometry, DFT PBE" volume_a3_per_fu=70.0 formation_energy_uncorrected_mev_per_atom=464 rho_g_cm3=4.813 pbc="T T T"
Y 2.006 2.006 2.173
Li 0.000 0.000 0.000
Se 0.000 0.000 2.173
N 0.000 2.006 0.000
N 2.006 0.000 0.000

***

Entry 4:
4
Lattice="-1.017 -4.159 -1.455 1.468 -1.439 3.084 -3.300 0.221 1.674" Properties=species:S:1:pos:R:3 comment="FeTc2Br, optimized geometry, DFT PBE" volume_a3_per_fu=62.1 formation_energy_uncorrected_mev_per_atom=1138 rho_g_cm3=8.867 pbc="T T T"
Br 0.225 -2.799 0.814
Fe -2.159 -1.969 0.109
Tc 0.000 0.000 0.000
Tc -0.916 -0.609 2.379